The following is a PBE calculation of a relaxed Ti3CuPb crystal, from Alexandria via LeMat-Bulk.

a b c (Å): 5.185 5.185 5.185
angles (deg): 90.00 90.00 90.00
Each line ends with the local moment (μB).
Sites, in units of the cell vectors:
Cu 0.500 0.500 0.500  0.00
Ti 0.000 0.500 0.000  1.32
Ti 0.000 0.000 0.500  1.27
Ti 0.500 0.000 0.000  1.37
Pb 0.000 0.000 0.000  -0.04

## Properties
Symmetry: Pm-3m, No. 221
Calculated volume in Å³ per atom: 27.881
Distance to the lowest polymorph of the same formula in meV/atom: 1122
Total DFT energy (no corrections) in eV/atom: -4.818
Spin magnetization in μB per formula unit: 5.4